i.
A relaxed structure of AcSmMgZn, computed with PBE-GGA.

Structure (POSCAR):
```
AcSmMgZn
1.0
0.000 3.878 3.878
3.878 0.000 3.878
3.878 3.878 0.000
Ac Sm Mg Zn
1 1 1 1
direct
0.000 0.000 0.000
0.500 0.500 0.500
0.750 0.750 0.750
0.250 0.250 0.250
```

Calculated values
- Spin magnetization: 0.00 μB/cell
- Symmetry: F-43m (216)

=====

ii.
A relaxed structure of AcSmMgZn, computed with PBE-GGA.

Structure (POSCAR):
```
AcSmMgZn
1.0
3.836 0.000 0.000
0.000 3.836 0.000
0.000 0.000 7.932
Ac Sm Mg Zn
1 1 1 1
direct
0.000 0.000 0.000
0.000 0.000 0.459
0.500 0.500 0.706
0.500 0.500 0.265
```

Calculated values
- Spin magnetization: 0.00 μB/cell
- Symmetry: P4mm (99)

=====

It is ii that is the most stable of them.

=====

i.
A relaxed structure of Ac2MgSn, computed with PBE-GGA.

Structure (POSCAR):
```
Ac2MgSn
1.0
6.751 0.000 0.000
0.000 4.710 0.000
-3.315 0.000 9.082
Ac Mg Sn
4 2 2
direct
0.213 0.250 0.432
0.279 0.750 0.079
0.721 0.250 0.921
0.787 0.750 0.568
0.350 0.750 0.720
0.650 0.250 0.280
0.144 0.250 0.797
0.856 0.750 0.203
```

Calculated values
- Spin magnetization: 0.00 μB/cell
- Symmetry: P2_1/m (11)

=====

ii.
A relaxed structure of Ac2MgSn, computed with PBE-GGA.

Structure (POSCAR):
```
Ac2MgSn
1.0
0.000 4.091 4.091
4.091 0.000 4.091
4.091 4.091 0.000
Ac Mg Sn
2 1 1
direct
0.250 0.250 0.250
0.750 0.750 0.750
0.000 0.000 0.000
0.500 0.500 0.500
```

Calculated values
- Spin magnetization: 0.00 μB/cell
- Symmetry: Fm-3m (225)

=====

It is i that is the most stable of them.

=====

i.
A relaxed structure of AcMg2Sn2, computed with PBE-GGA.

Structure (POSCAR):
```
AcMg2Sn2
1.0
4.659 0.000 0.000
0.000 4.659 0.000
0.000 0.000 6.506
Ac Mg Sn
1 2 2
direct
0.000 0.000 0.000
0.000 0.500 0.500
0.500 0.000 0.500
0.500 0.500 0.219
0.500 0.500 0.781
```

Calculated values
- Spin magnetization: 0.00 μB/cell
- Symmetry: P4/mmm (123)

=====

ii.
A relaxed structure of AcMg2Sn2, computed with PBE-GGA.

Structure (POSCAR):
```
AcMg2Sn2
1.0
-2.337 2.337 6.437
2.337 -2.337 6.437
2.337 2.337 -6.437
Ac Mg Sn
1 2 2
direct
0.000 0.000 0.000
0.250 0.750 0.500
0.750 0.250 0.500
0.386 0.386 0.000
0.614 0.614 0.000
```

Calculated values
- Spin magnetization: 0.00 μB/cell
- Symmetry: I4/mmm (139)

=====

It is ii that is the most stable of them.

=====

i.
A relaxed structure of AcMg2Sn, computed with PBE-GGA.

Structure (POSCAR):
```
AcMg2Sn
1.0
0.000 3.830 3.830
3.830 0.000 3.830
3.830 3.830 0.000
Ac Mg Sn
1 2 1
direct
0.000 0.000 0.000
0.250 0.250 0.250
0.750 0.750 0.750
0.500 0.500 0.500
```

Calculated values
- Spin magnetization: 0.00 μB/cell
- Symmetry: Fm-3m (225)

=====

ii.
A relaxed structure of AcMg2Sn, computed with PBE-GGA.

Structure (POSCAR):
```
AcMg2Sn
1.0
4.598 0.000 0.000
0.000 4.598 0.000
0.000 0.000 11.389
Ac Mg Sn
2 4 2
direct
0.250 0.250 0.236
0.750 0.750 0.764
0.250 0.250 0.936
0.250 0.750 0.500
0.750 0.250 0.500
0.750 0.750 0.064
0.250 0.250 0.666
0.750 0.750 0.334
```

Calculated values
- Spin magnetization: 0.00 μB/cell
- Symmetry: P4/nmm (129)

=====

It is ii that is the most stable of them.